--- w ---
ScCoOs2I (PBE-GGA, relaxed); size of the total moment = 0.3618 μB per atom; calculated volume = 105.4 Å³/f.u.
1.0
4.857 0.000 0.000
0.000 4.466 0.000
0.000 0.000 4.857
Co Sc Os I
1 1 2 1
Cartesian
0.000 2.233 0.000
2.429 2.233 2.429
0.000 0.000 2.429
2.429 0.000 0.000
0.000 0.000 0.000

--- x ---
ScCoOs2I (PBE-GGA, relaxed); size of the total moment = 0.0126 μB per atom; calculated volume = 115.8 Å³/f.u.
1.0
4.680 0.000 0.000
0.000 5.289 0.000
0.000 0.000 4.680
Os Co I Sc
2 1 1 1
Cartesian
0.000 0.000 2.340
2.340 0.000 0.000
2.340 2.644 2.340
0.000 2.644 0.000
0.000 0.000 0.000

Stability verdict: w, ahead by 690 meV per atom

--- w ---
CoP2SI (PBE-GGA, relaxed); size of the total moment = 0.5751 μB per atom; calculated volume = 131.8 Å³/f.u.
1.0
-4.116 2.427 1.871
-1.963 0.318 -4.731
-2.296 -4.400 0.657
S P Co I
1 2 1 1
Cartesian
-1.148 -2.200 0.328
-2.058 1.214 0.935
-0.981 0.159 -2.365
-4.187 -0.828 -1.101
0.000 0.000 0.000

--- x ---
CoP2SI (PBE-GGA, relaxed); size of the total moment = 0.0000 μB per atom; calculated volume = 93.2 Å³/f.u.
1.0
4.337 0.000 0.000
0.000 4.337 0.000
0.000 0.000 4.955
P Co S I
2 1 1 1
Cartesian
2.168 0.000 0.000
0.000 2.168 0.000
0.000 0.000 0.000
0.000 0.000 2.477
2.168 2.168 2.477

Stability verdict: x, ahead by 1294 meV per atom

--- w ---
CoSb2PI (PBE-GGA, relaxed); size of the total moment = 0.0000 μB per atom; calculated volume = 123.3 Å³/f.u.
1.0
4.901 0.000 0.000
0.000 4.901 0.000
0.000 0.000 5.133
P Sb I Co
1 2 1 1
Cartesian
2.450 2.450 2.567
0.000 2.450 0.000
2.450 0.000 0.000
0.000 0.000 2.567
0.000 0.000 0.000

--- x ---
CoSb2PI (PBE-GGA, relaxed); size of the total moment = 0.4316 μB per atom; calculated volume = 143.9 Å³/f.u.
1.0
-3.683 3.064 2.089
-0.147 -3.063 4.232
3.735 2.948 2.263
Sb I Co P
2 1 1 1
Cartesian
-1.842 1.532 1.045
-0.073 -1.531 2.116
1.867 1.474 1.131
-0.048 1.474 4.292
0.000 0.000 0.000

Stability verdict: w, ahead by 447 meV per atom

--- w ---
PaCoI (PBE-GGA, relaxed); size of the total moment = 0.0000 μB per atom; calculated volume = 84.1 Å³/f.u.
1.0
-1.459 -1.970 -2.995
2.620 -2.113 2.063
-8.629 -5.227 6.460
Co Pa I
2 2 2
Cartesian
-3.307 -5.860 1.442
-4.161 -3.450 4.086
-3.242 -3.492 1.285
-4.226 -5.819 4.243
-0.165 -2.791 1.591
-7.303 -6.520 3.937

--- x ---
PaCoI (PBE-GGA, relaxed); size of the total moment = 0.2179 μB per atom; calculated volume = 83.7 Å³/f.u.
1.0
3.938 -0.022 -0.549
-1.996 3.439 -0.027
-0.257 -0.065 12.437
Pa Co I
2 2 2
Cartesian
-0.888 1.838 7.904
2.573 1.514 3.957
0.829 2.816 5.800
0.856 0.536 6.061
1.408 0.889 10.015
0.277 2.463 1.846

Stability verdict: x, ahead by 15 meV per atom